1.
Below is a geometry-optimized SrB4O7 structure, with properties calculated at the PBEsol level.

* formation energy without anion corrections: -2.65 eV/atom
* D(E_F): 0.00 states/eV per atom

The structure in POSCAR format:
```
SrB4O7
1.0
17.137 0.000 0.000
-8.569 14.841 0.000
0.000 0.000 4.263
Sr B O
9 36 63
Direct
0.000 0.000 0.000
0.002 0.327 0.195
0.325 0.998 0.195
0.333 0.667 0.105
0.344 0.342 0.011
0.658 0.002 0.011
0.667 0.333 0.225
0.673 0.675 0.195
0.998 0.656 0.011
0.038 0.200 0.764
0.038 0.861 0.431
0.134 0.620 0.384
0.139 0.178 0.431
0.152 0.515 0.709
0.163 0.962 0.764
0.165 0.830 0.526
0.170 0.336 0.526
0.209 0.771 0.023
0.225 0.108 0.157
0.229 0.439 0.023
0.327 0.169 0.671
0.363 0.848 0.709
0.380 0.515 0.384
0.471 0.301 0.473
0.482 0.194 0.809
0.485 0.637 0.709
0.485 0.866 0.384
0.492 0.005 0.599
0.514 0.508 0.599
0.549 0.108 0.114
0.559 0.451 0.114
0.561 0.791 0.023
0.664 0.835 0.526
0.699 0.170 0.473
0.712 0.518 0.809
0.800 0.837 0.764
0.806 0.288 0.809
0.822 0.962 0.431
0.830 0.529 0.473
0.831 0.158 0.671
0.842 0.673 0.671
0.882 0.775 0.157
0.892 0.118 0.157
0.892 0.441 0.114
0.995 0.486 0.599
0.045 0.579 0.461
0.061 0.457 0.710
0.065 0.143 0.637
0.074 0.806 0.394
0.076 0.288 0.662
0.078 0.935 0.637
0.145 0.112 0.270
0.149 0.766 0.772
0.166 0.391 0.274
0.168 0.677 0.142
0.188 0.016 0.021
0.191 0.593 0.522
0.194 0.268 0.394
0.211 0.924 0.662
0.213 0.510 0.898
0.225 0.834 0.274
0.234 0.383 0.772
0.272 0.176 0.919
0.279 0.107 0.420
0.297 0.787 0.898
0.323 0.490 0.142
0.381 0.264 0.547
0.391 0.140 0.811
0.396 0.939 0.710
0.402 0.809 0.522
0.407 0.598 0.522
0.421 0.466 0.461
0.483 0.061 0.360
0.490 0.703 0.898
0.504 0.452 0.859
0.508 0.357 0.231
0.510 0.832 0.142
0.524 0.271 0.618
0.534 0.955 0.461
0.541 0.185 0.999
0.543 0.604 0.710
0.548 0.052 0.859
0.578 0.517 0.360
0.609 0.775 0.274
0.617 0.851 0.772
0.643 0.150 0.231
0.645 0.459 0.999
0.712 0.789 0.662
0.729 0.253 0.618
0.732 0.926 0.394
0.736 0.117 0.547
0.747 0.476 0.618
0.749 0.609 0.811
0.815 0.355 0.999
0.824 0.097 0.919
0.827 0.812 0.021
0.828 0.721 0.420
0.850 0.492 0.231
0.857 0.922 0.637
0.860 0.251 0.811
0.883 0.619 0.547
0.888 0.033 0.270
0.893 0.172 0.420
0.903 0.728 0.919
0.939 0.422 0.360
0.948 0.496 0.859
0.967 0.855 0.270
0.984 0.173 0.021
```

---

2.
Below is a geometry-optimized SrB2O4 structure, with properties calculated at the PBEsol level.

* formation energy without anion corrections: -2.73 eV/atom
* D(E_F): 0.00 states/eV per atom

The structure in POSCAR format:
```
SrB2O4
1.0
11.992 0.000 0.000
0.000 4.347 0.000
0.000 0.000 6.556
Sr B O
4 8 16
Direct
0.000 0.238 0.250
0.000 0.762 0.750
0.500 0.262 0.750
0.500 0.738 0.250
0.194 0.331 0.627
0.194 0.669 0.127
0.306 0.169 0.127
0.306 0.831 0.627
0.694 0.169 0.373
0.694 0.831 0.873
0.806 0.331 0.873
0.806 0.669 0.373
0.090 0.236 0.594
0.090 0.764 0.094
0.211 0.349 0.148
0.211 0.651 0.648
0.289 0.151 0.648
0.289 0.849 0.148
0.410 0.264 0.094
0.410 0.736 0.594
0.590 0.264 0.406
0.590 0.736 0.906
0.711 0.151 0.852
0.711 0.849 0.352
0.789 0.349 0.352
0.789 0.651 0.852
0.910 0.236 0.906
0.910 0.764 0.406
```

---

3.
Below is a geometry-optimized Sr3Y2B4O12 structure, with properties calculated at the PBEsol level.

* formation energy without anion corrections: -2.99 eV/atom
* D(E_F): 0.00 states/eV per atom

The structure in POSCAR format:
```
Sr3Y2B4O12
1.0
7.383 0.000 0.000
0.000 15.611 0.000
0.000 0.000 8.645
Sr Y B O
12 8 16 48
Direct
0.174 0.250 0.029
0.175 0.625 0.157
0.175 0.875 0.157
0.325 0.125 0.657
0.325 0.375 0.657
0.326 0.750 0.529
0.674 0.250 0.471
0.675 0.625 0.343
0.675 0.875 0.343
0.825 0.125 0.843
0.825 0.375 0.843
0.826 0.750 0.971
0.012 0.583 0.671
0.012 0.917 0.671
0.488 0.083 0.171
0.488 0.417 0.171
0.512 0.583 0.829
0.512 0.917 0.829
0.988 0.083 0.329
0.988 0.417 0.329
0.021 0.250 0.606
0.163 0.038 0.947
0.163 0.462 0.947
0.222 0.750 0.853
0.278 0.250 0.353
0.337 0.538 0.447
0.337 0.962 0.447
0.479 0.750 0.106
0.521 0.250 0.894
0.663 0.038 0.553
0.663 0.462 0.553
0.722 0.750 0.647
0.778 0.250 0.147
0.837 0.538 0.053
0.837 0.962 0.053
0.979 0.750 0.394
0.031 0.673 0.462
0.031 0.827 0.462
0.075 0.089 0.053
0.075 0.411 0.053
0.104 0.250 0.750
0.105 0.036 0.794
0.105 0.464 0.794
0.153 0.750 0.997
0.180 0.006 0.485
0.180 0.494 0.485
0.247 0.172 0.276
0.247 0.328 0.276
0.253 0.672 0.776
0.253 0.828 0.776
0.320 0.506 0.985
0.320 0.994 0.985
0.347 0.250 0.497
0.395 0.536 0.294
0.395 0.964 0.294
0.396 0.750 0.250
0.425 0.589 0.553
0.425 0.911 0.553
0.469 0.173 0.962
0.469 0.327 0.962
0.531 0.673 0.038
0.531 0.827 0.038
0.575 0.089 0.447
0.575 0.411 0.447
0.604 0.250 0.750
0.605 0.036 0.706
0.605 0.464 0.706
0.653 0.750 0.503
0.680 0.006 0.015
0.680 0.494 0.015
0.747 0.172 0.224
0.747 0.328 0.224
0.753 0.672 0.724
0.753 0.828 0.724
0.820 0.506 0.515
0.820 0.994 0.515
0.847 0.250 0.003
0.895 0.536 0.206
0.895 0.964 0.206
0.896 0.750 0.250
0.925 0.589 0.947
0.925 0.911 0.947
0.969 0.173 0.538
0.969 0.327 0.538
```

---

4.
Below is a geometry-optimized TbZnB5O10 structure, with properties calculated at the PBEsol level.

* formation energy without anion corrections: -2.57 eV/atom
* D(E_F): 0.00 states/eV per atom

The structure in POSCAR format:
```
TbZnB5O10
1.0
8.539 0.000 0.000
0.000 7.598 0.000
-7.923 0.000 9.336
Tb Zn B O
4 4 20 40
Direct
0.056 0.182 0.240
0.056 0.318 0.740
0.944 0.682 0.260
0.944 0.818 0.760
0.479 0.590 0.872
0.479 0.910 0.372
0.521 0.090 0.628
0.521 0.410 0.128
0.085 0.675 0.604
0.085 0.825 0.104
0.151 0.604 0.991
0.151 0.896 0.491
0.280 0.031 0.057
0.280 0.469 0.557
0.336 0.574 0.255
0.336 0.926 0.755
0.477 0.189 0.913
0.477 0.311 0.413
0.523 0.689 0.587
0.523 0.811 0.087
0.664 0.074 0.245
0.664 0.426 0.745
0.720 0.531 0.443
0.720 0.969 0.943
0.849 0.104 0.509
0.849 0.396 0.009
0.915 0.175 0.896
0.915 0.325 0.396
0.024 0.733 0.977
0.024 0.767 0.477
0.096 0.106 0.920
0.096 0.394 0.420
0.115 0.556 0.871
0.115 0.944 0.371
0.186 0.703 0.226
0.186 0.797 0.726
0.235 0.529 0.651
0.235 0.971 0.151
0.306 0.533 0.123
0.306 0.967 0.623
0.311 0.093 0.802
0.311 0.407 0.302
0.328 0.627 0.509
0.328 0.873 0.009
0.421 0.150 0.430
0.421 0.350 0.930
0.458 0.148 0.138
0.458 0.352 0.638
0.542 0.648 0.362
0.542 0.852 0.862
0.579 0.650 0.070
0.579 0.850 0.570
0.672 0.127 0.991
0.672 0.373 0.491
0.689 0.593 0.698
0.689 0.907 0.198
0.694 0.033 0.377
0.694 0.467 0.877
0.765 0.029 0.849
0.765 0.471 0.349
0.814 0.203 0.274
0.814 0.297 0.774
0.885 0.056 0.629
0.885 0.444 0.129
0.904 0.606 0.580
0.904 0.894 0.080
0.976 0.233 0.523
0.976 0.267 0.023
```

---

5.
Below is a geometry-optimized BTeO2 structure, with properties calculated at the PBEsol level.

* formation energy without anion corrections: 0.73 eV/atom
* D(E_F): 0.30 states/eV per atom

The structure in POSCAR format:
```
BTeO2
1.0
5.589 0.000 0.000
0.000 5.589 0.000
0.000 0.000 5.589
B Te O
4 4 8
Direct
0.000 0.000 0.000
0.000 0.500 0.500
0.500 0.000 0.500
0.500 0.500 0.000
0.000 0.000 0.500
0.000 0.500 0.000
0.500 0.000 0.000
0.500 0.500 0.500
0.250 0.250 0.250
0.250 0.250 0.750
0.250 0.750 0.250
0.250 0.750 0.750
0.750 0.250 0.250
0.750 0.250 0.750
0.750 0.750 0.250
0.750 0.750 0.750
```

---

6.
Below is a geometry-optimized B2TeO6 structure, with properties calculated at the PBEsol level.

* formation energy without anion corrections: -1.61 eV/atom
* D(E_F): 0.00 states/eV per atom

The structure in POSCAR format:
```
B2TeO6
1.0
5.211 0.000 0.000
0.000 8.782 0.000
-2.147 0.000 10.946
B Te O
8 4 24
Direct
0.001 0.225 0.119
0.001 0.275 0.619
0.449 0.627 0.135
0.449 0.873 0.635
0.551 0.127 0.365
0.551 0.373 0.865
0.999 0.725 0.381
0.999 0.775 0.881
0.435 0.704 0.865
0.435 0.796 0.365
0.565 0.204 0.635
0.565 0.296 0.135
0.077 0.627 0.858
0.077 0.873 0.358
0.214 0.627 0.401
0.214 0.873 0.901
0.250 0.177 0.118
0.250 0.323 0.618
0.364 0.749 0.692
0.364 0.751 0.192
0.437 0.015 0.687
0.437 0.485 0.187
0.445 0.148 0.467
0.445 0.352 0.967
0.555 0.648 0.033
0.555 0.852 0.533
0.563 0.515 0.813
0.563 0.985 0.313
0.636 0.249 0.808
0.636 0.251 0.308
0.750 0.677 0.382
0.750 0.823 0.882
0.786 0.127 0.099
0.786 0.373 0.599
0.923 0.127 0.642
0.923 0.373 0.142
```

---

7.
Below is a geometry-optimized B2TeO5 structure, with properties calculated at the PBEsol level.

* formation energy without anion corrections: -1.82 eV/atom
* D(E_F): 0.00 states/eV per atom

The structure in POSCAR format:
```
B2TeO5
1.0
5.433 -4.882 0.000
5.433 4.882 0.000
-2.370 0.000 8.160
B Te O
8 4 20
Direct
0.085 0.659 0.838
0.225 0.401 0.967
0.341 0.915 0.662
0.401 0.225 0.467
0.599 0.775 0.533
0.659 0.085 0.338
0.775 0.599 0.033
0.915 0.341 0.162
0.080 0.267 0.609
0.267 0.080 0.109
0.733 0.920 0.891
0.920 0.733 0.391
0.008 0.833 0.892
0.040 0.559 0.682
0.134 0.268 0.844
0.167 0.992 0.608
0.218 0.586 0.959
0.268 0.134 0.344
0.314 0.338 0.108
0.338 0.314 0.608
0.414 0.782 0.541
0.441 0.960 0.818
0.559 0.040 0.182
0.586 0.218 0.459
0.662 0.686 0.392
0.686 0.662 0.892
0.732 0.866 0.656
0.782 0.414 0.041
0.833 0.008 0.392
0.866 0.732 0.156
0.960 0.441 0.318
0.992 0.167 0.108
```

---

8.
Below is a geometry-optimized ThB2O5 structure, with properties calculated at the PBEsol level.

* formation energy without anion corrections: -2.97 eV/atom
* D(E_F): 0.00 states/eV per atom

The structure in POSCAR format:
```
ThB2O5
1.0
5.785 -3.502 0.000
5.785 3.502 0.000
-2.130 0.000 10.302
Th B O
4 8 20
Direct
0.022 0.612 0.692
0.388 0.978 0.808
0.612 0.022 0.192
0.978 0.388 0.308
0.164 0.566 0.142
0.231 0.722 0.503
0.278 0.769 0.997
0.434 0.836 0.358
0.566 0.164 0.642
0.722 0.231 0.003
0.769 0.278 0.497
0.836 0.434 0.858
0.058 0.313 0.836
0.107 0.602 0.471
0.176 0.775 0.871
0.225 0.824 0.629
0.275 0.358 0.189
0.280 0.640 0.084
0.313 0.058 0.336
0.358 0.275 0.689
0.360 0.720 0.416
0.398 0.893 0.029
0.602 0.107 0.971
0.640 0.280 0.584
0.642 0.725 0.311
0.687 0.942 0.664
0.720 0.360 0.916
0.725 0.642 0.811
0.775 0.176 0.371
0.824 0.225 0.129
0.893 0.398 0.529
0.942 0.687 0.164
```